The following is a PBE calculation of a geometry-optimized Ac8Cu2Ru structure, from Alexandria.

energy of formation from the pure elements	-0.0803	eV/atom
energy above the lowest structure with this stoichiometry	0.0	meV/atom
SG	No. 12
DOS(E_F)	12.7	states/eV per cell
calculated volume	36.9	A^3/atom

a = 10.178 Å, b = 10.178 Å, c = 9.814 Å
α = 93.08°, β = 93.08°, γ = 23.55°
Atoms (fractional coordinates):
Ac (0.010, 0.010, 0.205)
Ac (0.227, 0.227, 0.327)
Ac (0.350, 0.350, 0.020)
Ac (0.404, 0.404, 0.474)
Ac (0.596, 0.596, 0.526)
Ac (0.650, 0.650, 0.980)
Ac (0.773, 0.773, 0.673)
Ac (0.990, 0.990, 0.795)
Cu (0.162, 0.162, 0.733)
Cu (0.838, 0.838, 0.267)
Ru (0.500, 0.500, 0.000)